A geometry-optimized NpPaSbRh structure, computed with PBE.

Values from the calculation:
Uncorrected formation energy, meV per atom: -130.2
Energy, eV per atom: -8.608
Volume, Å³/cell: 345

Cell and atoms, written as extended XYZ:
```
16
Lattice="7.013 0.000 0.000 0.000 7.013 0.000 0.000 0.000 7.013" Properties=species:S:1:pos:R:3 pbc="T T T"
Np 0.000 0.000 0.000
Np 0.000 3.507 3.507
Np 3.507 0.000 3.507
Np 3.507 3.507 0.000
Pa 1.753 1.753 1.753
Pa 1.753 5.260 5.260
Pa 5.260 1.753 5.260
Pa 5.260 5.260 1.753
Sb 1.753 1.753 5.260
Sb 1.753 5.260 1.753
Sb 5.260 1.753 1.753
Sb 5.260 5.260 5.260
Rh 0.000 0.000 3.507
Rh 0.000 3.507 0.000
Rh 3.507 0.000 0.000
Rh 3.507 3.507 3.507
```